8
Lattice="-2.596 -0.735 -4.311 -4.003 -1.623 2.687 -7.420 7.604 3.171" Properties=species:S:1:pos:R:3 comment="PBE-GGA Nd4HoTm2Mg, relaxed" m_tot_mub_per_atom=0.00 n_ef_per_ev_cell=10.15 e_tot_ev_per_cell=-34.13 sg="No. 123" formation_energy_ev_per_atom=0.01 pbc="T T T"
Ho -5.712 2.990 2.929
Tm -7.420 7.604 3.171
Tm -5.008 3.435 -0.570
Nd -5.434 0.717 -2.849
Nd -7.883 4.971 0.899
Nd -6.136 0.275 0.648
Nd -8.585 4.529 4.397
Mg -3.299 -1.179 -0.812